DFT (SCAN) results for a PBEsol-optimized structure of Li3CuF6.

```
data_Li3CuF6
_cell_length_a 9.5607
_cell_length_b 8.2855
_cell_length_c 4.9399
_cell_angle_alpha 90.00
_cell_angle_beta 90.00
_cell_angle_gamma 90.00
_symmetry_space_group_name_H-M 'P n a 21'
_symmetry_Int_Tables_number 33
loop_
_symmetry_equiv_pos_as_xyz
'x,y,z'
'-x,-y,z+1/2'
'-x+1/2,y+1/2,z+1/2'
'x+1/2,-y+1/2,z'
loop_
_atom_site_label
_atom_site_type_symbol
_atom_site_fract_x
_atom_site_fract_y
_atom_site_fract_z
Li1 Li 0.1047 0.0519 0.0000
Li2 Li 0.1239 0.6365 0.4868
Li3 Li 0.1487 0.4461 0.9901
Cu1 Cu 0.1285 0.2596 0.4928
F1 F 0.0128 0.4193 0.6693
F2 F 0.0227 0.2546 0.1680
F3 F 0.0238 0.0928 0.6517
F4 F 0.2285 0.4385 0.3453
F5 F 0.2397 0.2646 0.8096
F6 F 0.2464 0.1085 0.3090
```

Properties
**Formation energy without anion corrections**: -2.5921 eV per atom
**N(E_F)**: 0.00 states/eV/f.u.